[1]
The following is a DFT calculation (PBE-GGA) of Li4Dy3TmTe8 after structural relaxation.

Summary:
electronic total energy	-71.7	eV per formula unit
total magnetic moment	0.00	μB per formula unit
energy relative to the elements, uncorrected	-1.287	eV per atom

Cell lengths 8.666, 8.648, 8.665 Å; angles 120.09, 120.00, 90.00 degrees
Atoms (fractional coordinates):
1 Li 0.500 0.000 0.000
2 Dy 0.000 0.500 0.500
3 Te 0.248 0.244 0.496
4 Dy 0.500 0.500 0.000
5 Li 0.500 0.000 0.500
6 Te 0.752 0.756 0.504
7 Te 0.750 0.246 0.500
8 Dy 0.500 0.500 0.500
9 Te 0.250 0.754 0.004
10 Te 0.250 0.754 0.500
11 Te 0.754 0.754 0.004
12 Li 0.000 0.000 0.500
13 Te 0.246 0.246 0.996
14 Te 0.750 0.246 0.996
15 Li 0.000 0.000 0.000
16 Tm 0.000 0.500 0.000


[2]
The following is a DFT calculation (PBE-GGA) of YPuZr2N4 after structural relaxation.

Summary:
electronic total energy	-84.1	eV per formula unit
total magnetic moment	4.82	μB per formula unit
energy relative to the elements, uncorrected	-1.617	eV per atom
density of states at the Fermi level	7.93	states/eV per cell

Cell lengths 3.356, 5.856, 5.797 Å; angles 70.73, 90.00, 90.00 degrees
Site moments in Bohr magnetons follow the coordinates.
Atoms (fractional coordinates):
1 Pu 0.500 0.500 0.000  4.68
2 Zr 0.000 0.000 0.000  0.06
3 Y 0.000 0.500 0.500  0.06
4 N 0.000 0.765 0.746  -0.08
5 N 0.000 0.235 0.254  -0.08
6 Zr 0.500 0.000 0.500  0.04
7 N 0.500 0.768 0.243  -0.03
8 N 0.500 0.232 0.757  -0.03


[3]
The following is a DFT calculation (PBE-GGA) of BaNd2Pt after structural relaxation.

Summary:
electronic total energy	-19.3	eV per formula unit
ΔE_f	-0.439	eV/atom
total magnetic moment	0.00	μB per formula unit
density of states at the Fermi level	5.01	states/eV per cell

Cell lengths 3.723, 3.723, 10.024 Å; angles 90.00, 90.00, 90.00 degrees
Atoms (fractional coordinates):
1 Nd 0.000 0.000 0.837
2 Nd 0.000 0.000 0.163
3 Pt 0.500 0.500 0.000
4 Ba 0.500 0.500 0.500


[4]
The following is a DFT calculation (PBE-GGA) of U3Tl2CuO12 after structural relaxation.

Summary:
electronic total energy	-141.3	eV per formula unit
total magnetic moment	1.08	μB per formula unit
energy relative to the elements, uncorrected	-2.175	eV per atom
density of states at the Fermi level	6.12	states/eV per cell

Cell lengths 7.459, 7.459, 7.459 Å; angles 63.96, 63.96, 63.96 degrees
Site moments in Bohr magnetons follow the coordinates.
Atoms (fractional coordinates):
1 U 0.000 0.500 0.000  0.05
2 Cu 0.000 0.000 0.000  0.53
3 O 0.046 0.675 0.675  0.00
4 O 0.057 0.700 0.057  0.07
5 Tl 0.653 0.653 0.653  0.00
6 Tl 0.347 0.347 0.347  0.00
7 O 0.954 0.325 0.325  0.00
8 O 0.700 0.057 0.057  0.07
9 O 0.675 0.046 0.675  0.00
10 O 0.943 0.943 0.300  0.07
11 O 0.300 0.943 0.943  0.07
12 O 0.325 0.325 0.954  0.00
13 O 0.943 0.300 0.943  0.07
14 U 0.000 0.000 0.500  0.05
15 O 0.675 0.675 0.046  0.00
16 U 0.500 0.000 0.000  0.05
17 O 0.325 0.954 0.325  0.00
18 O 0.057 0.057 0.700  0.07


[5]
The following is a DFT calculation (PBE-GGA) of NdBrCl after structural relaxation.

Summary:
electronic total energy	-13.7	eV per formula unit
total magnetic moment	0.00	μB per formula unit
energy relative to the elements, uncorrected	-1.808	eV per atom
density of states at the Fermi level	2.84	states/eV per cell

Cell lengths 3.963, 6.816, 8.463 Å; angles 68.71, 76.91, 90.00 degrees
Atoms (fractional coordinates):
1 Cl 0.142 0.483 0.723
2 Br 0.372 0.028 0.248
3 Nd 0.750 0.751 0.501
4 Cl 0.858 0.517 0.277
5 Nd 0.250 0.249 0.499
6 Br 0.628 0.972 0.752


[6]
The following is a DFT calculation (PBE-GGA) of CsV3Cu after structural relaxation.

Summary:
electronic total energy	-24.6	eV per formula unit
ΔE_f	1.538	eV/atom
total magnetic moment	9.48	μB per formula unit
density of states at the Fermi level	11.44	states/eV per cell

Cell lengths 4.957, 4.957, 4.957 Å; angles 90.00, 90.00, 90.00 degrees
Site moments in Bohr magnetons follow the coordinates.
Atoms (fractional coordinates):
1 Cs 0.500 0.500 0.500  0.13
2 Cu 0.000 0.000 0.000  0.11
3 V 0.000 0.000 0.500  2.50
4 V 0.000 0.500 0.000  2.50
5 V 0.500 0.000 0.000  2.50


[7]
The following is a DFT calculation (PBE-GGA) of CaMg9Cu3 after structural relaxation.

Summary:
electronic total energy	-29.5	eV per formula unit
ΔE_f	-0.067	eV/atom
total magnetic moment	0.00	μB per formula unit
density of states at the Fermi level	5.93	states/eV per cell

Cell lengths 5.451, 7.396, 7.539 Å; angles 82.61, 68.81, 69.16 degrees
Atoms (fractional coordinates):
1 Mg 0.343 0.667 0.642
2 Mg 0.519 0.211 0.778
3 Mg 0.703 0.789 0.778
4 Ca 0.000 0.000 0.000
5 Cu 0.000 0.000 0.500
6 Cu 0.500 0.500 0.000
7 Mg 0.015 0.333 0.642
8 Mg 0.297 0.211 0.222
9 Mg 0.481 0.789 0.222
10 Mg 0.985 0.667 0.358
11 Cu 0.500 0.000 0.500
12 Mg 0.657 0.333 0.358
13 Mg 0.000 0.500 0.000


[8]
The following is a DFT calculation (PBE-GGA) of TcTeCl2 after structural relaxation.

Summary:
electronic total energy	-14.2	eV per formula unit
total magnetic moment	2.82	μB per formula unit
energy relative to the elements, uncorrected	0.760	eV per atom
density of states at the Fermi level	1.64	states/eV per cell

Cell lengths 4.995, 4.995, 4.995 Å; angles 60.00, 60.00, 60.00 degrees
Site moments in Bohr magnetons follow the coordinates.
Atoms (fractional coordinates):
1 Cl 0.250 0.250 0.250  -0.06
2 Te 0.500 0.500 0.500  -0.48
3 Cl 0.750 0.750 0.750  -0.06
4 Tc 0.000 0.000 0.000  3.37


[9]
The following is a DFT calculation (PBE-GGA) of Ti2Hg2N after structural relaxation.

Summary:
electronic total energy	-19.7	eV per formula unit
total magnetic moment	0.96	μB per formula unit
energy relative to the elements, uncorrected	0.995	eV per atom
density of states at the Fermi level	2.48	states/eV per cell

Cell lengths 3.694, 3.694, 7.572 Å; angles 75.88, 75.88, 90.00 degrees
Site moments in Bohr magnetons follow the coordinates.
Atoms (fractional coordinates):
1 Hg 0.250 0.750 0.500  0.00
2 Ti 0.429 0.429 0.142  0.52
3 Ti 0.571 0.571 0.858  0.52
4 Hg 0.750 0.250 0.500  0.00
5 N 0.000 0.000 0.000  -0.03


[10]
The following is a DFT calculation (PBE-GGA) of Cu2AgMo after structural relaxation.

Summary:
electronic total energy	-20.4	eV per formula unit
ΔE_f	0.364	eV/atom
total magnetic moment	0.00	μB per formula unit
density of states at the Fermi level	2.04	states/eV per cell

Cell lengths 6.610, 4.756, 2.622 Å; angles 89.86, 66.86, 125.91 degrees
Atoms (fractional coordinates):
1 Cu 0.500 0.000 0.500
2 Mo 0.000 0.500 0.500
3 Cu 0.000 0.000 0.000
4 Ag 0.500 0.500 0.000


[11]
The following is a DFT calculation (PBE-GGA) of HfRe2Tc2 after structural relaxation.

Summary:
electronic total energy	-48.9	eV per formula unit
ΔE_f	1.335	eV/atom
total magnetic moment	0.00	μB per formula unit
density of states at the Fermi level	3.84	states/eV per cell

Cell lengths 4.637, 4.637, 4.722 Å; angles 90.00, 90.00, 90.00 degrees
Atoms (fractional coordinates):
1 Tc 0.500 0.000 0.000
2 Tc 0.000 0.500 0.000
3 Re 0.000 0.000 0.500
4 Re 0.000 0.000 0.000
5 Hf 0.500 0.500 0.500


[12]
The following is a DFT calculation (PBE-GGA) of HoPuSeS2 after structural relaxation.

Summary:
electronic total energy	-37.5	eV per formula unit
total magnetic moment	5.00	μB per formula unit
energy relative to the elements, uncorrected	-1.378	eV per atom
density of states at the Fermi level	19.53	states/eV per cell

Cell lengths 6.082, 6.132, 7.372 Å; angles 114.58, 90.00, 90.00 degrees
Site moments in Bohr magnetons follow the coordinates.
Atoms (fractional coordinates):
1 S 0.000 0.749 0.000  -0.10
2 Pu 0.750 0.380 0.761  5.09
3 S 0.500 0.251 0.000  -0.10
4 Ho 0.750 0.113 0.227  0.07
5 Pu 0.250 0.620 0.239  5.09
6 S 0.000 0.251 0.000  -0.10
7 Se 0.250 0.250 0.501  -0.06
8 S 0.500 0.749 0.000  -0.10
9 Se 0.750 0.750 0.499  -0.06
10 Ho 0.250 0.887 0.773  0.07


[13]
The following is a DFT calculation (PBE-GGA) of ScTc2B6 after structural relaxation.

Summary:
electronic total energy	-71.2	eV per formula unit
ΔE_f	-0.454	eV/atom
total magnetic moment	0.00	μB per formula unit
density of states at the Fermi level	3.89	states/eV per cell

Cell lengths 3.374, 5.246, 5.246 Å; angles 120.00, 90.00, 90.00 degrees
Atoms (fractional coordinates):
1 Tc 0.000 0.667 0.333
2 B 0.500 0.336 0.000
3 B 0.500 0.664 0.000
4 Tc 0.000 0.333 0.667
5 B 0.500 0.336 0.336
6 B 0.500 0.000 0.336
7 Sc 0.000 0.000 0.000
8 B 0.500 0.000 0.664
9 B 0.500 0.664 0.664


[14]
The following is a DFT calculation (PBE-GGA) of Pr4MgZn2Hg after structural relaxation.

Summary:
electronic total energy	-25.8	eV per formula unit
ΔE_f	-0.283	eV/atom
total magnetic moment	0.00	μB per formula unit
density of states at the Fermi level	8.77	states/eV per cell

Cell lengths 5.366, 5.366, 9.352 Å; angles 73.33, 73.33, 60.00 degrees
Atoms (fractional coordinates):
1 Zn 0.744 0.744 0.769
2 Pr 0.624 0.624 0.129
3 Mg 0.000 0.000 0.000
4 Hg 0.500 0.500 0.500
5 Zn 0.256 0.256 0.231
6 Pr 0.376 0.376 0.871
7 Pr 0.126 0.126 0.623
8 Pr 0.874 0.874 0.377


[15]
The following is a DFT calculation (PBE-GGA) of Tl2CrCu after structural relaxation.

Summary:
electronic total energy	-16.3	eV per formula unit
ΔE_f	0.529	eV/atom
total magnetic moment	3.76	μB per formula unit
density of states at the Fermi level	2.06	states/eV per cell

Cell lengths 9.166, 9.166, 9.166 Å; angles 21.08, 21.08, 21.08 degrees
Site moments in Bohr magnetons follow the coordinates.
Atoms (fractional coordinates):
1 Cr 0.489 0.489 0.489  3.51
2 Cu 0.759 0.759 0.759  0.07
3 Tl 0.012 0.012 0.012  -0.03
4 Tl 0.240 0.240 0.240  -0.04


[16]
The following is a DFT calculation (PBE-GGA) of Zn4PdAu2 after structural relaxation.

Summary:
electronic total energy	-18.4	eV per formula unit
ΔE_f	-0.217	eV/atom
total magnetic moment	0.00	μB per formula unit
density of states at the Fermi level	2.08	states/eV per cell

Cell lengths 6.699, 6.699, 6.699 Å; angles 109.05, 110.31, 109.05 degrees
Atoms (fractional coordinates):
1 Au 0.497 0.372 0.625
2 Zn 0.792 0.249 0.883
3 Au 0.875 0.128 0.503
4 Zn 0.117 0.909 0.366
5 Zn 0.634 0.751 0.543
6 Zn 0.633 0.749 0.042
7 Au 0.375 0.872 0.747
8 Au 0.253 0.628 0.125
9 Zn 0.457 0.091 0.208
10 Zn 0.293 0.251 0.884
11 Pd 0.750 0.500 0.250
12 Pd 0.000 0.000 0.000
13 Zn 0.958 0.591 0.707
14 Zn 0.116 0.409 0.367


[17]
The following is a DFT calculation (PBE-GGA) of MgTlPt after structural relaxation.

Summary:
electronic total energy	-10.4	eV per formula unit
ΔE_f	-0.145	eV/atom
total magnetic moment	0.00	μB per formula unit
density of states at the Fermi level	1.98	states/eV per cell

Cell lengths 3.211, 3.211, 6.880 Å; angles 90.00, 90.00, 120.00 degrees
Atoms (fractional coordinates):
1 Tl 0.333 0.667 0.650
2 Pt 0.667 0.333 0.314
3 Mg 0.000 0.000 0.036


[18]
The following is a DFT calculation (PBE-GGA) of SiSeN after structural relaxation.

Summary:
electronic total energy	-18.1	eV per formula unit
total magnetic moment	0.00	μB per formula unit
energy relative to the elements, uncorrected	-0.273	eV per atom
density of states at the Fermi level	0.00	states/eV per cell

Cell lengths 3.758, 5.485, 12.142 Å; angles 90.00, 94.61, 90.00 degrees
Atoms (fractional coordinates):
1 Si 0.000 0.266 0.000
2 Se 0.182 0.500 0.639
3 N 0.313 0.000 0.485
4 Se 0.182 0.000 0.139
5 Si 0.000 0.234 0.500
6 N 0.687 0.500 0.015
7 Si 0.000 0.766 0.500
8 Si 0.000 0.734 0.000
9 Se 0.818 0.500 0.361
10 Se 0.818 0.000 0.861
11 N 0.687 0.000 0.515
12 N 0.313 0.500 0.985


[19]
The following is a DFT calculation (PBE-GGA) of Tm2Cu2SnRh5 after structural relaxation.

Summary:
electronic total energy	-63.5	eV per formula unit
ΔE_f	-0.557	eV/atom
total magnetic moment	0.00	μB per formula unit
density of states at the Fermi level	21.11	states/eV per cell

Cell lengths 3.824, 9.324, 9.324 Å; angles 90.00, 90.00, 90.00 degrees
Atoms (fractional coordinates):
1 Cu 0.000 0.623 0.877
2 Sn 0.000 0.500 0.500
3 Rh 0.500 0.292 0.571
4 Rh 0.500 0.571 0.708
5 Cu 0.000 0.123 0.623
6 Rh 0.500 0.429 0.292
7 Cu 0.000 0.877 0.377
8 Tm 0.000 0.673 0.173
9 Tm 0.000 0.173 0.327
10 Tm 0.000 0.827 0.673
11 Rh 0.500 0.929 0.208
12 Rh 0.500 0.708 0.429
13 Cu 0.000 0.377 0.123
14 Rh 0.500 0.500 0.000
15 Tm 0.000 0.327 0.827
16 Rh 0.500 0.071 0.792
17 Sn 0.000 0.000 0.000
18 Rh 0.500 0.792 0.929
19 Rh 0.500 0.208 0.071
20 Rh 0.500 0.000 0.500


[20]
The following is a DFT calculation (PBE-GGA) of Zn2AgTe after structural relaxation.

Summary:
electronic total energy	-8.3	eV per formula unit
total magnetic moment	0.00	μB per formula unit
energy relative to the elements, uncorrected	0.064	eV per atom
density of states at the Fermi level	1.41	states/eV per cell

Cell lengths 4.428, 4.428, 5.762 Å; angles 78.42, 78.42, 49.80 degrees
Atoms (fractional coordinates):
1 Te 0.251 0.251 0.238
2 Zn 0.750 0.750 0.758
3 Ag 0.492 0.492 0.556
4 Zn 0.006 0.006 0.948


[21]
The following is a DFT calculation (PBE-GGA) of HfSc2Ni9 after structural relaxation.

Summary:
electronic total energy	-79.9	eV per formula unit
ΔE_f	-0.437	eV/atom
total magnetic moment	0.00	μB per formula unit
density of states at the Fermi level	15.19	states/eV per cell

Cell lengths 4.798, 4.798, 8.404 Å; angles 73.41, 73.41, 60.00 degrees
Atoms (fractional coordinates):
1 Sc 0.139 0.139 0.583
2 Ni 0.666 0.666 0.001
3 Ni 0.919 0.415 0.251
4 Ni 0.500 0.500 0.500
5 Hf 0.000 0.000 0.000
6 Sc 0.861 0.861 0.417
7 Ni 0.585 0.585 0.749
8 Ni 0.081 0.585 0.749
9 Ni 0.415 0.919 0.251
10 Ni 0.585 0.081 0.749
11 Ni 0.415 0.415 0.251
12 Ni 0.334 0.334 0.999


[22]
The following is a DFT calculation (PBE-GGA) of TaTiFeRu after structural relaxation.

Summary:
electronic total energy	-39.2	eV per formula unit
ΔE_f	-0.421	eV/atom
total magnetic moment	0.80	μB per formula unit
density of states at the Fermi level	2.88	states/eV per cell

Cell lengths 3.076, 3.076, 6.165 Å; angles 90.00, 90.00, 90.00 degrees
Site moments in Bohr magnetons follow the coordinates.
Atoms (fractional coordinates):
1 Ta 0.500 0.500 0.597  -0.09
2 Ru 0.000 0.000 0.863  0.04
3 Ti 0.500 0.500 0.116  -0.17
4 Fe 0.000 0.000 0.353  1.11


[23]
The following is a DFT calculation (PBE-GGA) of TlSn2Te4 after structural relaxation.

Summary:
electronic total energy	-24.0	eV per formula unit
total magnetic moment	0.00	μB per formula unit
energy relative to the elements, uncorrected	-0.157	eV per atom
density of states at the Fermi level	5.59	states/eV per cell

Cell lengths 4.391, 7.692, 14.421 Å; angles 90.00, 90.00, 106.58 degrees
Atoms (fractional coordinates):
1 Te 0.939 0.878 0.750
2 Te 0.233 0.467 0.875
3 Te 0.767 0.533 0.375
4 Te 0.233 0.467 0.625
5 Sn 0.139 0.279 0.440
6 Te 0.767 0.533 0.125
7 Sn 0.139 0.279 0.060
8 Te 0.500 0.000 0.500
9 Sn 0.861 0.721 0.560
10 Tl 0.406 0.813 0.250
11 Te 0.061 0.122 0.250
12 Te 0.500 0.000 0.000
13 Tl 0.594 0.187 0.750
14 Sn 0.861 0.721 0.940


[24]
The following is a DFT calculation (PBE-GGA) of ZnInBr3 after structural relaxation.

Summary:
electronic total energy	-12.9	eV per formula unit
total magnetic moment	0.00	μB per formula unit
energy relative to the elements, uncorrected	-0.778	eV per atom
density of states at the Fermi level	0.00	states/eV per cell

Cell lengths 4.014, 6.685, 7.374 Å; angles 110.62, 105.64, 90.02 degrees
Atoms (fractional coordinates):
1 Br 0.704 0.855 0.183
2 Br 0.114 0.266 0.000
3 Br 0.875 0.487 0.528
4 In 0.380 0.868 0.540
5 Zn 0.708 0.219 0.190